Entry 1:
{
  "formula": "TmHfRu2",
  "functional": "PBE",
  "state": "relaxed",
  "cell": [[0.000, 3.292, 3.292], [3.292, 0.000, 3.292], [3.292, 3.292, 0.000]],
  "species": ["Tm", "Hf", "Ru", "Ru"],
  "fractional_positions": [[0.000, 0.000, 0.000], [0.500, 0.500, 0.500], [0.250, 0.250, 0.250], [0.750, 0.750, 0.750]],
  "e_tot_ev_per_atom": -8.87,
  "magmom_total_mub_per_fu": 0.000,
  "density_g_cm3": 12.8,
  "delta_e_f_mev_per_atom": -631
}

Entry 2:
{
  "formula": "PrNd2Tm7",
  "functional": "PBE",
  "state": "relaxed",
  "cell": [[4.253, -8.943, 0.000], [4.253, 8.943, 0.000], [0.000, 0.000, 4.978]],
  "species": ["Pr", "Nd", "Nd", "Tm", "Tm", "Tm", "Tm", "Tm", "Tm", "Tm"],
  "fractional_positions": [[0.000, 0.000, 0.000], [0.299, 0.701, 0.500], [0.701, 0.299, 0.500], [0.076, 0.288, 0.500], [0.194, 0.806, 0.000], [0.288, 0.076, 0.500], [0.500, 0.500, 0.500], [0.712, 0.924, 0.500], [0.806, 0.194, 0.000], [0.924, 0.712, 0.500]],
  "e_tot_ev_per_atom": -3.87,
  "magmom_total_mub_per_fu": 0.000,
  "density_g_cm3": 7.1,
  "delta_e_f_mev_per_atom": 694,
  "e_above_lowest_polymorph_mev_per_atom": 671
}

Entry 3:
{
  "formula": "YFeBr2",
  "functional": "PBE",
  "state": "relaxed",
  "cell": [[-2.374, 2.374, 9.021], [2.374, -2.374, 9.021], [2.374, 2.374, -9.021]],
  "species": ["Y", "Y", "Fe", "Fe", "Br", "Br", "Br", "Br"],
  "fractional_positions": [[0.000, 0.000, 0.000], [0.750, 0.250, 0.500], [0.250, 0.750, 0.500], [0.500, 0.500, 0.000], [0.140, 0.625, 0.015], [0.375, 0.390, 0.515], [0.610, 0.125, 0.985], [0.875, 0.860, 0.485]],
  "e_tot_ev_per_atom": -4.81,
  "magmom_total_mub_per_fu": 2.616,
  "density_g_cm3": 5.0,
  "formation_energy_uncorrected_ev_per_atom": -0.25,
  "e_above_lowest_polymorph_mev_per_atom": 340
}

Entry 4:
{
  "formula": "MnAl2Pt",
  "functional": "PBE",
  "state": "relaxed",
  "cell": [[2.886, 0.000, 0.000], [0.000, 3.158, 0.000], [0.000, 0.000, 5.918]],
  "species": ["Mn", "Al", "Al", "Pt"],
  "fractional_positions": [[0.000, 0.000, 0.000], [0.500, 0.500, 0.231], [0.500, 0.500, 0.769], [0.000, 0.000, 0.500]],
  "e_tot_ev_per_atom": -6.28,
  "magmom_total_mub_per_fu": 1.097,
  "density_g_cm3": 9.4,
  "delta_e_f_mev_per_atom": -604
}

Entry 5:
{
  "formula": "RbNi2AgBr",
  "functional": "PBE",
  "state": "relaxed",
  "cell": [[4.836, 0.000, 0.000], [0.000, 4.836, 0.000], [0.000, 0.000, 6.036]],
  "species": ["Rb", "Ni", "Ni", "Ag", "Br"],
  "fractional_positions": [[0.000, 0.000, 0.000], [0.000, 0.500, 0.000], [0.500, 0.000, 0.000], [0.500, 0.500, 0.500], [0.000, 0.000, 0.500]],
  "e_tot_ev_per_atom": -1.89,
  "magmom_total_mub_per_fu": 0.516,
  "density_g_cm3": 4.6,
  "formation_energy_uncorrected_ev_per_atom": 1.52
}

Entry 6:
{
  "formula": "LaCd2Ni",
  "functional": "PBE",
  "state": "relaxed",
  "cell": [[6.007, -1.637, 0.000], [6.007, 1.637, 0.000], [-2.051, 0.000, 4.534]],
  "species": ["La", "Cd", "Cd", "Ni"],
  "fractional_positions": [[0.000, 0.000, 0.000], [0.207, 0.207, 0.706], [0.793, 0.793, 0.294], [0.500, 0.500, 0.500]],
  "e_tot_ev_per_atom": -3.28,
  "magmom_total_mub_per_fu": 0.001,
  "density_g_cm3": 7.9,
  "delta_e_f_mev_per_atom": -141
}

Entry 7:
{
  "formula": "Zr2AlCu5",
  "functional": "PBE",
  "state": "relaxed",
  "cell": [[-1.664, 2.745, 6.881], [1.664, -2.745, 6.881], [1.664, 2.745, -6.881]],
  "species": ["Zr", "Zr", "Al", "Cu", "Cu", "Cu", "Cu", "Cu"],
  "fractional_positions": [[0.229, 0.229, 0.000], [0.771, 0.771, 0.000], [0.500, 0.000, 0.500], [0.000, 0.000, 0.000], [0.153, 0.403, 0.750], [0.347, 0.597, 0.750], [0.653, 0.403, 0.250], [0.847, 0.597, 0.250]],
  "e_tot_ev_per_atom": -5.20,
  "magmom_total_mub_per_fu": 0.000,
  "density_g_cm3": 7.0,
  "delta_e_f_mev_per_atom": -32,
  "e_above_lowest_polymorph_mev_per_atom": 175
}

Entry 8:
{
  "formula": "Zr2NbCr",
  "functional": "PBE",
  "state": "relaxed",
  "cell": [[-3.725, 3.725, 2.856], [3.725, -3.725, 2.856], [3.725, 3.725, -2.856]],
  "species": ["Zr", "Zr", "Zr", "Zr", "Nb", "Nb", "Cr", "Cr"],
  "fractional_positions": [[0.102, 0.125, 0.477], [0.375, 0.898, 0.023], [0.648, 0.625, 0.523], [0.875, 0.352, 0.977], [0.250, 0.750, 0.500], [0.500, 0.500, 0.000], [0.000, 0.000, 0.000], [0.750, 0.250, 0.500]],
  "e_tot_ev_per_atom": -8.59,
  "magmom_total_mub_per_fu": 1.609,
  "density_g_cm3": 6.9,
  "delta_e_f_mev_per_atom": 607,
  "e_above_lowest_polymorph_mev_per_atom": 411
}

Entry 9:
{
  "formula": "BaCe2Tl",
  "functional": "PBE",
  "state": "relaxed",
  "cell": [[1.787, 1.031, 12.502], [-1.787, 1.031, 12.502], [0.000, -2.063, 12.502]],
  "species": ["Ba", "Ce", "Ce", "Tl"],
  "fractional_positions": [[0.000, 0.000, 0.000], [0.096, 0.096, 0.096], [0.904, 0.904, 0.904], [0.500, 0.500, 0.500]],
  "e_tot_ev_per_atom": -3.80,
  "magmom_total_mub_per_fu": 2.520,
  "density_g_cm3": 7.5,
  "delta_e_f_mev_per_atom": 243
}

Entry 10:
{
  "formula": "CdMoAs4",
  "functional": "PBE",
  "state": "relaxed",
  "cell": [[0.000, 3.877, 3.877], [3.877, 0.000, 3.877], [3.877, 3.877, 0.000]],
  "species": ["Cd", "Mo", "As", "As", "As", "As"],
  "fractional_positions": [[0.000, 0.000, 0.000], [0.750, 0.750, 0.750], [0.376, 0.376, 0.376], [0.376, 0.376, 0.871], [0.376, 0.871, 0.376], [0.871, 0.376, 0.376]],
  "e_tot_ev_per_atom": -4.33,
  "magmom_total_mub_per_fu": 0.001,
  "density_g_cm3": 7.2,
  "delta_e_f_mev_per_atom": 725
}

Entry 11:
{
  "formula": "HfZnO2",
  "functional": "PBE",
  "state": "relaxed",
  "cell": [[1.610, 0.930, 8.680], [-1.610, 0.930, 8.680], [0.000, -1.859, 8.680]],
  "species": ["Hf", "Zn", "O", "O"],
  "fractional_positions": [[0.000, 0.000, 0.000], [0.500, 0.500, 0.500], [0.371, 0.371, 0.371], [0.629, 0.629, 0.629]],
  "e_tot_ev_per_atom": -7.58,
  "magmom_total_mub_per_fu": 0.001,
  "density_g_cm3": 5.9,
  "formation_energy_uncorrected_ev_per_atom": -2.29
}

Entry 12:
{
  "formula": "Tm5ZrSn4",
  "functional": "PBE",
  "state": "relaxed",
  "cell": [[9.104, -1.921, 0.000], [9.104, 1.921, 0.000], [-2.018, 0.000, 8.455]],
  "species": ["Tm", "Tm", "Tm", "Tm", "Tm", "Zr", "Sn", "Sn", "Sn", "Sn"],
  "fractional_positions": [[0.000, 0.000, 0.000], [0.323, 0.323, 0.132], [0.334, 0.334, 0.706], [0.666, 0.666, 0.294], [0.677, 0.677, 0.868], [0.000, 0.000, 0.500], [0.166, 0.166, 0.578], [0.494, 0.494, 0.252], [0.506, 0.506, 0.748], [0.834, 0.834, 0.422]],
  "e_tot_ev_per_atom": -4.95,
  "magmom_total_mub_per_fu": 0.000,
  "density_g_cm3": 7.9,
  "delta_e_f_mev_per_atom": -256
}

Which formula does entry 12 have?
Tm5ZrSn4